1.
LaPmZnPd, optimized geometry, DFT PBE; formation enthalpy at 0 K = -0.51 eV/atom; raw total energy = -4.54 eV/atom
1.0
7.359 0.000 0.000
0.000 7.359 0.000
0.000 0.000 7.359
La Pm Zn Pd
4 4 4 4
Cartesian
0.000 0.000 0.000
0.000 3.679 3.679
3.679 0.000 3.679
3.679 3.679 0.000
0.000 0.000 3.679
0.000 3.679 0.000
3.679 0.000 0.000
3.679 3.679 3.679
1.840 1.840 5.519
1.840 5.519 1.840
5.519 1.840 1.840
5.519 5.519 5.519
1.840 1.840 1.840
1.840 5.519 5.519
5.519 1.840 5.519
5.519 5.519 1.840

=====

2.
LaPmZnPd, optimized geometry, DFT PBE; formation enthalpy at 0 K = -0.55 eV/atom; raw total energy = -4.59 eV/atom
1.0
4.575 0.000 0.000
0.000 3.953 0.000
0.000 0.000 11.387
La Pm Zn Pd
2 2 2 2
Cartesian
0.000 0.000 0.000
0.000 1.976 5.693
2.288 0.000 3.170
2.288 1.976 8.863
0.000 0.000 8.164
0.000 1.976 2.470
2.288 0.000 6.524
2.288 1.976 0.831

=====

3.
La3Pr4Pd4, optimized geometry, DFT PBE; formation enthalpy at 0 K = -0.50 eV/atom; raw total energy = -5.47 eV/atom
1.0
-2.485 3.886 8.076
2.485 -3.886 8.076
2.485 3.886 -8.076
La Pr Pd
3 4 4
Cartesian
0.000 0.000 0.000
2.485 0.000 6.514
0.000 3.886 1.562
2.485 1.741 -2.749
2.485 1.741 2.749
0.000 2.146 5.327
0.000 2.146 10.825
0.000 0.000 3.197
2.485 2.460 0.000
0.000 1.426 8.076
0.000 0.000 12.956

=====

4.
LaPr2Pd4, optimized geometry, DFT PBE; formation enthalpy at 0 K = -0.73 eV/atom; raw total energy = -5.76 eV/atom
1.0
5.539 0.000 0.000
0.066 7.476 0.000
1.704 0.023 7.908
La Pr Pd
2 4 8
Cartesian
0.000 0.000 0.000
2.890 0.744 2.336
2.860 3.705 7.525
2.752 4.269 3.296
5.521 2.949 5.235
5.715 6.883 4.278
2.631 1.562 5.092
2.989 6.152 5.522
2.561 5.870 0.891
4.467 0.730 7.034
3.929 2.958 0.523
5.879 5.341 6.727
5.473 4.990 2.052
5.805 2.126 2.435

=====

5.
La3PrPd, optimized geometry, DFT PBE; formation enthalpy at 0 K = -0.21 eV/atom; raw total energy = -5.16 eV/atom
1.0
7.988 0.000 0.000
-3.994 6.918 0.000
0.000 0.000 6.178
La Pr Pd
6 2 2
Cartesian
0.000 2.536 1.545
-1.798 5.650 1.545
2.196 1.268 4.634
1.798 5.650 1.545
5.792 1.268 4.634
3.994 4.382 4.634
0.000 4.612 4.634
3.994 2.306 1.545
0.000 0.000 0.000
0.000 0.000 3.089

=====

6.
La3PrPd8, optimized geometry, DFT PBE; formation enthalpy at 0 K = -0.75 eV/atom; raw total energy = -5.85 eV/atom
1.0
5.566 0.000 0.000
-2.783 4.820 0.000
0.000 0.000 9.126
La Pr Pd
3 1 8
Cartesian
0.000 0.000 0.000
0.000 0.000 3.397
0.000 3.214 7.937
0.000 3.214 4.553
-1.382 2.416 1.694
1.384 0.799 6.249
1.382 2.416 1.694
0.000 4.810 1.694
2.783 1.607 3.970
2.783 1.607 8.538
4.182 0.799 6.249
2.783 3.222 6.249

=====

7.
LaPrPd, optimized geometry, DFT PBE; formation enthalpy at 0 K = -0.45 eV/atom; raw total energy = -5.42 eV/atom
1.0
13.245 0.000 0.000
0.000 3.685 0.000
-1.948 0.000 7.107
La Pr Pd
4 4 4
Cartesian
1.758 0.000 0.600
2.917 1.843 6.507
8.380 1.843 0.600
9.539 0.000 6.507
0.620 0.000 3.999
4.054 1.843 3.108
7.243 1.843 3.999
10.677 0.000 3.108
-1.373 1.843 5.543
6.047 0.000 1.564
5.250 0.000 5.543
12.670 1.843 1.564

=====

8.
LaPr2Pd9, optimized geometry, DFT PBE; formation enthalpy at 0 K = -0.75 eV/atom; raw total energy = -5.86 eV/atom
1.0
4.227 0.000 0.000
0.000 4.227 0.000
0.000 0.000 12.674
La Pr Pd
1 2 9
Cartesian
0.000 0.000 0.000
0.000 0.000 4.235
0.000 0.000 8.439
0.000 2.113 2.113
0.000 2.113 6.337
0.000 2.113 10.561
2.113 0.000 2.113
2.113 0.000 6.337
2.113 0.000 10.561
2.113 2.113 0.000
2.113 2.113 4.224
2.113 2.113 8.449

=====

9.
La2PrPd9, optimized geometry, DFT PBE; formation enthalpy at 0 K = -0.71 eV/atom; raw total energy = -5.83 eV/atom
1.0
2.726 1.574 9.116
-2.726 1.574 9.116
0.000 -3.148 9.116
La Pr Pd
2 1 9
Cartesian
0.000 0.000 3.765
0.000 0.000 23.582
0.000 0.000 0.000
-1.372 -0.792 11.413
0.000 0.000 9.107
0.000 -1.584 15.934
-1.372 0.792 15.934
0.000 0.000 13.673
1.372 -0.792 11.413
0.000 1.584 11.413
0.000 0.000 18.240
1.372 0.792 15.934

=====

10.
La7PrPd2, optimized geometry, DFT PBE; formation enthalpy at 0 K = -0.08 eV/atom; raw total energy = -5.05 eV/atom
1.0
4.642 -7.551 0.000
4.642 7.551 0.000
0.000 0.000 5.468
La Pr Pd
7 1 2
Cartesian
0.000 0.000 0.000
2.949 1.950 0.000
4.642 4.268 2.734
2.949 -1.950 0.000
6.336 1.950 0.000
4.642 -4.268 2.734
6.336 -1.950 0.000
4.642 0.000 2.734
4.642 4.605 0.000
4.642 -4.605 0.000

=====

11.
La6PrPd3, optimized geometry, DFT PBE; formation enthalpy at 0 K = -0.45 eV/atom; raw total energy = -5.44 eV/atom
1.0
5.995 -6.898 0.000
5.995 6.898 0.000
0.000 0.000 7.553
La Pr Pd
12 2 6
Cartesian
2.698 2.678 2.530
5.995 6.380 3.777
5.995 3.732 1.121
3.980 0.604 7.448
3.980 -0.604 3.671
2.698 -2.678 6.307
9.291 2.678 2.530
8.009 0.604 7.448
8.009 -0.604 3.671
5.995 -3.732 4.897
5.995 -6.380 0.000
9.291 -2.678 6.307
5.995 2.448 4.698
5.995 -2.448 0.922
2.231 1.255 5.242
2.231 -1.255 1.466
5.995 0.983 2.135
5.995 -0.983 5.911
9.759 1.255 5.242
9.759 -1.255 1.466

=====

12.
La2PrPd, optimized geometry, DFT PBE; formation enthalpy at 0 K = -0.13 eV/atom; raw total energy = -5.08 eV/atom
1.0
3.828 0.000 0.000
-1.914 3.315 0.000
0.000 0.000 32.477
La Pr Pd
6 3 3
Cartesian
0.000 0.000 3.483
0.000 0.000 28.994
0.000 2.210 18.169
0.000 2.210 25.134
1.914 1.105 7.343
1.914 1.105 14.309
0.000 0.000 0.000
0.000 2.210 21.652
1.914 1.105 10.826
0.000 0.000 16.239
0.000 2.210 5.413
1.914 1.105 27.064

=====

13.
La2Pr3Pd4, optimized geometry, DFT PBE; formation enthalpy at 0 K = -0.69 eV/atom; raw total energy = -5.69 eV/atom
1.0
7.812 0.000 0.000
0.000 7.847 0.000
-2.586 0.000 7.921
La Pr Pd
4 6 8
Cartesian
1.318 1.381 0.773
0.026 2.543 4.733
5.201 5.304 3.188
3.908 6.467 7.148
1.224 5.210 1.999
-0.069 6.561 5.960
2.613 0.000 3.960
3.906 3.924 0.000
5.295 1.286 1.961
4.003 2.638 5.921
-1.541 4.186 6.939
-0.248 7.585 2.979
1.621 1.016 6.937
2.914 2.908 2.977
2.312 4.939 4.944
3.605 6.832 0.983
5.474 0.263 4.942
6.767 3.661 0.982

=====

14.
LaPr3Pd2, optimized geometry, DFT PBE; formation enthalpy at 0 K = -0.48 eV/atom; raw total energy = -5.42 eV/atom
1.0
6.577 -3.543 0.000
6.577 3.543 0.000
-2.486 0.000 7.713
La Pr Pd
2 6 4
Cartesian
4.712 1.792 5.785
5.955 -1.792 1.928
5.955 1.744 1.928
1.529 0.013 6.884
2.772 -0.013 3.027
7.895 0.013 4.686
9.138 -0.013 0.830
4.712 -1.744 5.785
1.414 0.000 0.458
0.171 0.000 4.314
10.496 0.000 3.399
9.253 0.000 7.256

=====

15.
La2PrPd8, optimized geometry, DFT PBE; formation enthalpy at 0 K = -0.66 eV/atom; raw total energy = -5.77 eV/atom
1.0
6.738 -2.353 0.000
6.738 2.353 0.000
-4.471 0.000 7.055
La Pr Pd
2 1 8
Cartesian
1.752 0.000 0.927
7.254 0.000 6.128
4.503 0.000 3.527
-0.699 0.000 2.395
-1.128 0.000 5.312
1.491 0.000 4.200
5.513 0.000 0.743
3.492 0.000 6.312
7.515 0.000 2.855
10.134 0.000 1.743
9.705 0.000 4.660

=====

16.
LaPrPd, optimized geometry, DFT PBE; formation enthalpy at 0 K = -0.36 eV/atom; raw total energy = -5.33 eV/atom
1.0
7.213 0.000 0.000
0.000 7.213 0.000
0.000 0.000 7.213
La Pr Pd
4 4 4
Cartesian
0.000 0.000 0.000
0.000 3.607 3.607
3.607 0.000 3.607
3.607 3.607 0.000
0.000 0.000 3.607
0.000 3.607 0.000
3.607 0.000 0.000
3.607 3.607 3.607
1.803 1.803 1.803
1.803 5.410 5.410
5.410 1.803 5.410
5.410 5.410 1.803

=====

17.
La2PrPd4, optimized geometry, DFT PBE; formation enthalpy at 0 K = -0.22 eV/atom; raw total energy = -5.28 eV/atom
1.0
5.254 0.000 0.000
0.000 5.254 0.000
0.000 0.000 15.118
La Pr Pd
4 2 8
Cartesian
0.000 0.000 2.084
0.000 0.000 13.034
2.627 2.627 5.475
2.627 2.627 9.643
0.000 0.000 7.559
2.627 2.627 0.000
0.000 0.000 4.677
0.000 0.000 10.441
0.000 2.627 0.000
0.000 2.627 7.559
2.627 0.000 0.000
2.627 0.000 7.559
2.627 2.627 2.882
2.627 2.627 12.236

=====

18.
La2PrPd2, optimized geometry, DFT PBE; formation enthalpy at 0 K = -0.65 eV/atom; raw total energy = -5.65 eV/atom
1.0
8.194 0.000 0.000
0.000 8.194 0.000
0.000 0.000 4.075
La Pr Pd
4 2 4
Cartesian
1.377 2.719 0.000
2.719 6.816 0.000
5.474 1.377 0.000
6.816 5.474 0.000
0.000 0.000 2.038
4.097 4.097 2.038
1.042 5.139 2.038
3.055 1.042 2.038
5.139 7.152 2.038
7.152 3.055 2.038

=====

19.
LaPr3Pd12, optimized geometry, DFT PBE; formation enthalpy at 0 K = -0.75 eV/atom; raw total energy = -5.85 eV/atom
1.0
4.218 0.000 0.000
0.000 4.218 0.000
0.000 0.000 16.944
La Pr Pd
1 3 12
Cartesian
0.000 0.000 0.000
0.000 0.000 4.247
0.000 0.000 8.472
0.000 0.000 12.697
0.000 2.109 2.118
0.000 2.109 6.355
0.000 2.109 10.589
0.000 2.109 14.826
2.109 0.000 2.118
2.109 0.000 6.355
2.109 0.000 10.589
2.109 0.000 14.826
2.109 2.109 0.000
2.109 2.109 4.233
2.109 2.109 8.472
2.109 2.109 12.711

=====

20.
LaPrPd, optimized geometry, DFT PBE; formation enthalpy at 0 K = -0.37 eV/atom; raw total energy = -5.33 eV/atom
1.0
4.869 0.000 0.000
-2.434 4.216 0.000
0.000 0.000 4.111
La Pr Pd
1 1 1
Cartesian
0.000 0.000 0.000
0.000 2.811 2.365
2.434 1.405 1.241